This record from Alexandria via LeMat-Bulk describes crystalline SrAl2Sb at its relaxed geometry. The functional is PBE.

Formation energy from raw total energies ... 0.03 eV per formula unit

Unit cell a=5.295 b=5.295 c=5.295 alpha=60.00 beta=60.00 gamma=60.00
Atoms (fractional coordinates):
Sr (0.000, 0.000, 0.000)
Al (0.250, 0.250, 0.250)
Al (0.500, 0.500, 0.500)
Sb (0.750, 0.750, 0.750)